{"formula": "Co2WI2", "functional": "PBEsol", "state": "relaxed", "crystal_system": "tetragonal", "e_form_raw_ev_per_atom": 1.124, "n_ef_per_ev_atom": 0.935, "cell": [[3.262, 0.000, 0.000], [0.000, 3.262, 0.000], [0.000, 0.000, 16.559]], "species": ["Co", "Co", "Co", "Co", "W", "W", "I", "I", "I", "I"], "fractional_positions": [[0.000, 0.500, 0.250], [0.000, 0.500, 0.750], [0.500, 0.000, 0.250], [0.500, 0.000, 0.750], [0.000, 0.000, 0.000], [0.500, 0.500, 0.500], [0.000, 0.000, 0.393], [0.000, 0.000, 0.607], [0.500, 0.500, 0.107], [0.500, 0.500, 0.893]]}